Entry 1:
Crystalline Zr2H2Ir at its relaxed geometry. Source: Alexandria via LeMat-Bulk, functional PBE-GGA.

- Space group: P4/mmm, No. 123

abc: 3.126 3.126 6.689
angles: 90.00 90.00 90.00
Element x y z (fractional)
Zr 0.500 0.500 0.733
H 0.500 0.000 0.500
H 0.000 0.500 0.500
Zr 0.500 0.500 0.267
Ir 0.000 0.000 0.000

---

Entry 2:
Crystalline ZrHIr at its relaxed geometry. Source: Alexandria via LeMat-Bulk, functional PBE-GGA.

- Space group: Pnma, No. 62

abc: 3.255 7.960 6.218
angles: 90.00 90.00 90.00
Element x y z (fractional)
Ir 0.250 0.957 0.818
Zr 0.750 0.693 0.997
Zr 0.750 0.807 0.497
Zr 0.250 0.193 0.503
Ir 0.750 0.043 0.182
H 0.250 0.745 0.746
Zr 0.250 0.307 0.003
H 0.750 0.255 0.254
Ir 0.250 0.543 0.318
H 0.250 0.755 0.246
Ir 0.750 0.457 0.682
H 0.750 0.245 0.754

---

Entry 3:
Crystalline ZrHIr3 at its relaxed geometry. Source: Alexandria via LeMat-Bulk, functional PBE-GGA.

- Space group: C2/m, No. 12

abc: 17.387 6.814 6.814
angles: 155.34 152.28 27.72
Element x y z (fractional)
Zr 0.886 0.993 0.007
Ir 0.840 0.736 0.264
Zr 0.114 0.007 0.993
Ir 0.488 0.421 0.579
H 0.418 0.932 0.068
Ir 0.280 0.463 0.537
Ir 0.512 0.579 0.421
Ir 0.720 0.537 0.463
Ir 0.160 0.264 0.736
H 0.582 0.068 0.932

---

Entry 4:
Crystalline ZrH2Ir at its relaxed geometry. Source: Alexandria via LeMat-Bulk, functional PBE-GGA.

- Space group: Cmcm, No. 63

abc: 3.042 3.513 8.422
angles: 102.02 90.00 90.00
Element x y z (fractional)
H 0.250 0.247 0.494
Ir 0.750 0.071 0.142
Zr 0.250 0.667 0.335
Ir 0.250 0.929 0.858
H 0.750 0.753 0.506
Zr 0.750 0.333 0.665
H 0.750 0.559 0.118
H 0.250 0.441 0.882

---

Number 1: E -7.030 eV per atom, magnetization 0.00 μB per formula unit. Number 2: E -7.360 eV per atom, magnetization 0.00 μB per formula unit. Number 3: E -7.795 eV per atom, magnetization 0.00 μB per formula unit. Number 4: E -6.414 eV per atom, magnetization 0.00 μB per formula unit.